Density functional theory data (PBE) for an optimized crystal structure of PuMgRe4.

The density of states at the Fermi level is 12.2 states/eV/f.u. The value obtained for the calculated volume is 430.4 Å³/cell. The calculation puts the total magnetic moment at 5.9 μB/f.u. The value obtained for the formation energy is 12.3 kJ/mol of atoms. The calculation puts the calculated density at 15.637 g/cm3.

The structure belongs to space group F-43m (No. 216); the cell edges are 7.550, 7.550 and 7.550 Å and the angles 90.00°, 90.00° and 90.00°. Symmetry generates all atoms from Pu at (0.000, 0.000, 0.000), Mg at (0.250, 0.250, 0.250) and Re at (0.124, 0.124, 0.624).



Density functional theory data (PBE) for an optimized crystal structure of LiInCl2.

The value obtained for the formation energy from raw total energies is -1146 meV/atom. The density of states at the Fermi level is 0.0 states/eV/f.u. The value obtained for the calculated volume is 461.4 Å³/cell. The calculation puts the total magnetic moment at 0.0 μB/f.u. The calculation puts the calculated density at 2.080 g/cm3. The value obtained for the energy above the most stable polymorph in this dataset is 159 meV/atom.

The structure belongs to space group R-3m (No. 166, hexagonal axes); the cell edges are 4.7792, 4.7792 and 23.3277 Å and the angles 90.00°, 90.00° and 120.00°. Symmetry generates all atoms from Li at (0.0000, 0.0000, 0.0000), In at (0.0000, 0.0000, 0.5000) and Cl at (0.0000, 0.0000, 0.0936).



Density functional theory data (PBE) for an optimized crystal structure of Cs2TiGa.

The density of states at the Fermi level is 4.9 states/eV/f.u. The value obtained for the calculated volume is 1045.6 Å³/cell. The calculation puts the total magnetic moment at 2.5 μB/f.u. The value obtained for the formation energy is 64.4 kJ/mol of atoms. The calculation puts the calculated density at 2.435 g/cm3. The value obtained for the energy above the most stable polymorph in this dataset is 0 meV/atom.

The structure belongs to space group I-42d (No. 122); the cell edges are 14.165, 14.165 and 5.211 Å and the angles 90.00°, 90.00° and 90.00°. Symmetry generates all atoms from Cs at (0.064, 0.250, 0.125), Ti at (0.000, 0.000, 0.500) and Ga at (0.000, 0.000, 0.000).



Density functional theory data (PBE) for an optimized crystal structure of TmVTc2.

The density of states at the Fermi level is 4.7 states/eV/f.u. The value obtained for the calculated volume is 202.3 Å³/cell. The calculation puts the total magnetic moment at 0.0 μB/f.u. The value obtained for the formation energy is 17.9 kJ/mol of atoms. The calculation puts the calculated density at 10.243 g/cm3. The value obtained for the energy above the most stable polymorph in this dataset is 285 meV/atom.

The structure belongs to space group R-3m (No. 166, hexagonal axes); the cell edges are 3.0584, 3.0584 and 24.9691 Å and the angles 90.00°, 90.00° and 120.00°. Symmetry generates all atoms from Tm at (0.0000, 0.0000, 0.0000), V at (0.0000, 0.0000, 0.5000) and Tc at (0.0000, 0.0000, 0.2396).



Density functional theory data (PBE) for an optimized crystal structure of Tl2TcW.

The density of states at the Fermi level is 2.9 states/eV/f.u. The value obtained for the calculated volume is 85.8 Å³/cell. The calculation puts the total magnetic moment at 0.0 μB/f.u. The value obtained for the formation energy is 45.0 kJ/mol of atoms. The calculation puts the calculated density at 13.361 g/cm3. The value obtained for the energy above the most stable polymorph in this dataset is 19 meV/atom.

The structure belongs to space group P4mm (No. 99); the cell edges are 3.121, 3.121 and 8.813 Å and the angles 90.00°, 90.00° and 90.00°. Symmetry generates all atoms from Tl at (0.000, 0.000, 0.000), Tl at (0.500, 0.500, 0.336), Tc at (0.500, 0.500, 0.746) and W at (0.000, 0.000, 0.594).



Density functional theory data (PBE) for an optimized crystal structure of Ca2YZrTa.

The density of states at the Fermi level is 6.9 states/eV/f.u. The value obtained for the calculated volume is 167.3 Å³/cell. The calculation puts the total magnetic moment at 0.8 μB/f.u. The value obtained for the formation energy is 83.8 kJ/mol of atoms. The calculation puts the calculated density at 4.380 g/cm3.

The structure belongs to space group P4/mmm (No. 123); the cell edges are 5.702, 5.702 and 5.145 Å and the angles 90.00°, 90.00° and 90.00°. Symmetry generates all atoms from Ca at (0.000, 0.500, 0.000), Y at (0.000, 0.000, 0.500), Zr at (0.500, 0.500, 0.500) and Ta at (0.500, 0.500, 0.000).



Density functional theory data (PBE) for an optimized crystal structure of LiAs6Pd12.

The density of states at the Fermi level is 7.4 states/eV/f.u. The value obtained for the calculated volume is 1018.4 Å³/cell. The calculation puts the total magnetic moment at 0.0 μB/f.u. The value obtained for the formation energy is -27.7 kJ/mol of atoms. The calculation puts the calculated density at 8.480 g/cm3.

The structure belongs to space group R-3m (No. 166, hexagonal axes); the cell edges are 11.5748, 11.5748 and 8.7772 Å and the angles 90.00°, 90.00° and 120.00°. Symmetry generates all atoms from Li at (0.0000, 0.0000, 0.0000), As at (0.0441, 0.5221, 0.2741), Pd at (0.0000, 0.3762, 0.5000) and Pd at (0.0874, 0.1748, 0.3430).



Density functional theory data (PBE) for an optimized crystal structure of CaPmPd.

The density of states at the Fermi level is 3.0 states/eV/f.u. The value obtained for the calculated volume is 352.7 Å³/cell. The calculation puts the total magnetic moment at 0.0 μB/f.u. The value obtained for the formation energy is -41.4 kJ/mol of atoms. The calculation puts the calculated density at 5.490 g/cm3. The value obtained for the energy above the most stable polymorph in this dataset is 99 meV/atom.

The structure belongs to space group F-43m (No. 216); the cell edges are 7.065, 7.065 and 7.065 Å and the angles 90.00°, 90.00° and 90.00°. Symmetry generates all atoms from Ca at (0.000, 0.000, 0.000), Pm at (0.000, 0.000, 0.500) and Pd at (0.250, 0.250, 0.750).